# 1
Material: Zr4PAu
Method: DFT, PBE
State: optimized geometry

Values from the calculation:
Its space-group type is F-43m (216). The total DFT energy (no corrections) is -0.5025 Ry/atom. The calculation puts the density of states at the Fermi level at 0.8629 states/eV/atom. As for the total moment: 0.00 μB/f.u. The calculation puts the formation energy from the elements at 309 meV per atom.

Lattice parameters (Å, degrees): 5.6326 5.6326 5.6326 60.00 60.00 60.00
Fractional coordinates of all 6 atoms:
Zr (0.8749, 0.3750, 0.3750)
Zr (0.3750, 0.3750, 0.8749)
Zr (0.3750, 0.8749, 0.3750)
Zr (0.3750, 0.3750, 0.3750)
P (0.0000, 0.0000, 0.0000)
Au (0.7500, 0.7500, 0.7500)

# 2
Material: Zr2PAu
Method: DFT, PBE
State: optimized geometry

Values from the calculation:
Its space-group type is I-42d (122). The total DFT energy (no corrections) is -0.5135 Ry/atom. The calculation puts the density of states at the Fermi level at 0.9371 states/eV/atom. As for the total moment: 0.00 μB/f.u. The calculation puts the formation energy from the elements at -541 meV per atom.

Lattice parameters (Å, degrees): 7.2829 7.2829 5.9982 52.62 52.62 90.00
Fractional coordinates of all 8 atoms:
P (0.5000, 0.5000, 0.0000)
P (0.2500, 0.7500, 0.5000)
Au (0.0000, 0.0000, 0.0000)
Au (0.7500, 0.2500, 0.5000)
Zr (0.6019, 0.1250, 0.2500)
Zr (0.1481, 0.6250, 0.2500)
Zr (0.3750, 0.3981, 0.7500)
Zr (0.8750, 0.8519, 0.7500)

# 3
Material: ZrP4Au
Method: DFT, PBE
State: optimized geometry

Values from the calculation:
Its space-group type is F-43m (216). The total DFT energy (no corrections) is -0.3974 Ry/atom. The calculation puts the density of states at the Fermi level at 0.3509 states/eV/atom. As for the total moment: 0.00 μB/f.u. The calculation puts the formation energy from the elements at 171 meV per atom.

Lattice parameters (Å, degrees): 5.1435 5.1435 5.1435 60.00 60.00 60.00
Fractional coordinates of all 6 atoms:
Zr (0.7500, 0.7500, 0.7500)
P (0.8795, 0.3735, 0.3735)
P (0.3735, 0.3735, 0.8795)
P (0.3735, 0.8795, 0.3735)
P (0.3735, 0.3735, 0.3735)
Au (0.0000, 0.0000, 0.0000)